No. 1
Density functional theory data (PBE) for a relaxed structure of LiMgNO2.

Cell and atoms, written as POSCAR:
```
LiMgNO2
1.0
3.686 0.000 0.000
0.000 3.686 0.000
0.000 0.000 3.743
Mg O Li N
1 2 1 1
Cartesian
1.843 1.843 1.871 Mg
1.843 0.000 0.000 O
0.000 1.843 0.000 O
0.000 0.000 0.000 Li
0.000 0.000 1.871 N
```

Values from the calculation:
Magnetization ... 4.00 μB per formula unit
Theoretical density ... 2.5 g cm⁻³
Fermi-level density of states ... 0.989 states/eV per cell
ΔE_f (raw) ... 0.048 eV/atom
Crystal system ... tetragonal



No. 2
Density functional theory data (PBE) for a relaxed structure of AcUP3.

Cell and atoms, written as POSCAR:
```
AcUP3
1.0
-1.084 -3.880 -3.156
2.148 -3.277 3.291
-4.516 -0.628 2.323
U P Ac
1 3 1
Cartesian
0.000 0.000 0.000 U
1.074 -1.638 1.646 P
-2.258 -0.314 1.161 P
-0.542 -1.940 -1.578 P
-1.726 -3.892 1.229 Ac
```

Values from the calculation:
Magnetization ... 0.21 μB per formula unit
Theoretical density ... 6.9 g cm⁻³
Formation enthalpy at 0 K ... -0.7330 eV per atom
Fermi-level density of states ... 2.235 states/eV per cell
Crystal system ... cubic



No. 3
Density functional theory data (PBE) for a relaxed structure of ScPb3.

Cell and atoms, written as POSCAR:
```
ScPb3
1.0
-2.255 -2.266 -3.252
-0.664 -3.473 2.880
-3.180 5.023 1.813
Pb Sc
3 1
Cartesian
-3.448 -0.055 -0.818 Pb
-1.459 -2.869 -0.186 Pb
-2.650 -0.660 2.259 Pb
0.000 0.000 0.000 Sc
```

Values from the calculation:
Magnetization ... 0.00 μB per formula unit
Theoretical density ... 9.9 g cm⁻³
Formation enthalpy at 0 K ... -0.1120 eV per atom
Fermi-level density of states ... 3.353 states/eV per cell
Crystal system ... monoclinic



| no. | electronic total energy (eV/cell) |
| --- | --- |
| 1 | -21.51 |
| 2 | -35.29 |
| 3 | -17.90 |